1.
PBE ZrHSeN2, optimized geometry; N(E_F) = 0.59 states/eV per atom; crystal system = tetragonal; energy relative to the lowest polymorph listed for this composition = 0 meV/atom
1.0
4.042 0.000 0.000
0.000 4.042 0.000
0.000 0.000 3.224
Zr H Se N
1 1 1 2
Cartesian
0.000 0.000 0.000
2.021 2.021 1.612
2.021 2.021 0.000
0.000 2.021 1.612
2.021 0.000 1.612

2.
PBE Dy2CdGa3Pd4, optimized geometry; N(E_F) = 0.62 states/eV per atom; E_form = -0.71 eV per atom; crystal system = tetragonal
1.0
4.040 0.000 0.000
0.000 4.040 0.000
0.000 0.000 11.767
Dy Cd Ga Pd
2 1 3 4
Cartesian
0.000 2.020 2.921
2.020 0.000 8.846
0.000 0.000 5.883
0.000 2.020 10.238
2.020 0.000 1.529
2.020 2.020 5.883
0.000 0.000 0.000
0.000 2.020 7.764
2.020 0.000 4.003
2.020 2.020 0.000

3.
PBE AlHg2Pt, optimized geometry; N(E_F) = 0.29 states/eV per atom; E_form = 0.02 eV per atom; crystal system = tetragonal
1.0
-2.138 2.138 4.059
2.138 -2.138 4.059
2.138 2.138 -4.059
Al Hg Pt
1 2 1
Cartesian
0.000 0.000 0.000
2.138 0.000 2.030
0.000 0.000 4.059
0.000 2.138 2.030

4.
PBE TaV2Sn2, optimized geometry; N(E_F) = 1.03 states/eV per atom; E_form = 0.32 eV per atom; crystal system = tetragonal; energy relative to the lowest polymorph listed for this composition = 0 meV/atom
1.0
7.478 0.000 0.000
0.000 7.478 0.000
0.000 0.000 3.234
Ta V Sn
2 4 4
Cartesian
0.000 0.000 0.000
3.739 3.739 0.000
0.848 2.891 0.000
2.891 6.630 0.000
4.587 0.848 0.000
6.630 4.587 0.000
1.352 5.091 1.617
2.387 1.352 1.617
5.091 6.126 1.617
6.126 2.387 1.617

5.
PBE Li2TmSn, optimized geometry; N(E_F) = 0.45 states/eV per atom; E_form = -0.33 eV per atom; crystal system = tetragonal
1.0
4.338 0.000 0.000
0.000 4.338 0.000
0.000 0.000 4.804
Li Tm Sn
2 1 1
Cartesian
0.000 2.169 0.000
2.169 0.000 0.000
0.000 0.000 2.402
2.169 2.169 2.402

6.
PBE Ce4Ho9In11, optimized geometry; N(E_F) = 1.24 states/eV per atom; E_form = -0.35 eV per atom; crystal system = orthorhombic
1.0
8.785 -10.562 0.000
8.785 10.562 0.000
0.000 0.000 3.469
Ce Ho In
4 9 11
Cartesian
3.014 1.388 0.000
3.014 -1.388 0.000
14.557 1.388 0.000
14.557 -1.388 0.000
0.000 0.000 0.000
6.623 5.819 0.000
6.978 2.159 0.000
10.948 5.819 0.000
6.978 -2.159 0.000
10.593 2.159 0.000
6.623 -5.819 0.000
10.593 -2.159 0.000
10.948 -5.819 0.000
4.687 3.735 1.735
8.785 7.766 1.735
8.785 4.213 1.735
5.432 0.000 1.735
4.687 -3.735 1.735
8.785 0.000 1.735
12.884 3.735 1.735
12.139 0.000 1.735
8.785 -4.213 1.735
8.785 -7.766 1.735
12.884 -3.735 1.735

7.
PBE Pr6Ni2Hg, optimized geometry; N(E_F) = 1.06 states/eV per atom; E_form = -0.24 eV per atom; crystal system = orthorhombic
1.0
-4.770 5.131 5.252
4.770 -5.131 5.252
4.770 5.131 -5.252
Pr Ni Hg
12 4 2
Cartesian
4.770 3.063 -2.865
2.809 1.855 0.000
6.732 1.855 0.000
1.843 5.131 -1.842
2.927 0.000 3.409
0.000 2.068 2.387
4.770 3.063 2.865
1.843 5.131 1.842
2.927 0.000 7.094
-1.962 3.276 5.252
1.962 3.276 5.252
0.000 2.068 8.116
4.770 0.000 1.266
0.000 3.723 0.000
0.000 6.539 0.000
0.000 5.131 3.986
0.000 0.000 0.000
0.000 0.000 5.252

8.
PBE Sm7TmZn4, optimized geometry; N(E_F) = 1.20 states/eV per atom; E_form = -0.01 eV per atom; crystal system = monoclinic
1.0
7.001 -2.788 0.000
7.001 2.788 0.000
-5.637 0.000 8.458
Sm Tm Zn
7 1 4
Cartesian
0.000 0.000 0.000
-0.715 0.000 5.577
3.417 0.000 1.021
2.627 0.000 5.131
5.738 0.000 3.326
4.948 0.000 7.436
9.080 0.000 2.881
7.001 0.000 0.000
-3.571 0.000 6.366
0.587 0.000 2.843
7.778 0.000 5.614
11.936 0.000 2.091

9.
PBE Pu2GePb, optimized geometry; N(E_F) = 4.17 states/eV per atom; E_form = -0.09 eV per atom; crystal system = trigonal
1.0
1.786 1.031 9.759
-1.786 1.031 9.759
0.000 -2.063 9.759
Pu Ge Pb
2 1 1
Cartesian
0.000 0.000 7.017
0.000 0.000 22.261
0.000 0.000 14.639
0.000 0.000 0.000

10.
PBE Li2Tb2CuSi4, optimized geometry; N(E_F) = 0.38 states/eV per atom; crystal system = tetragonal
1.0
-2.973 2.973 4.300
2.973 -2.973 4.300
2.973 2.973 -4.300
Li Tb Cu Si
2 2 1 4
Cartesian
0.000 0.000 1.862
0.000 0.000 6.739
2.973 0.000 2.150
0.000 2.973 2.150
0.000 0.000 4.300
1.257 1.257 0.000
1.716 -1.716 4.300
-1.716 1.716 4.300
1.716 1.716 4.300

11.
PBE CoCuMo, optimized geometry; N(E_F) = 1.17 states/eV per atom; E_form = 0.17 eV per atom; crystal system = hexagonal; energy relative to the lowest polymorph listed for this composition = 29 meV/atom
1.0
4.128 0.000 0.000
-2.064 3.575 0.000
0.000 0.000 2.571
Co Cu Mo
1 1 1
Cartesian
0.000 0.000 0.000
2.064 1.192 0.000
0.000 2.384 1.286

12.
PBE CdCu2Ru, optimized geometry; N(E_F) = 0.70 states/eV per atom; E_form = 0.32 eV per atom; crystal system = tetragonal
1.0
-1.927 1.927 3.937
1.927 -1.927 3.937
1.927 1.927 -3.937
Cd Cu Ru
1 2 1
Cartesian
0.000 0.000 0.000
1.927 0.000 1.969
0.000 0.000 3.937
0.000 1.927 1.969

| no. | energy (eV/atom) |
| --- | --- |
| 1 | -5.58 |
| 2 | -4.71 |
| 3 | -2.57 |
| 4 | -7.30 |
| 5 | -3.41 |
| 6 | -4.31 |
| 7 | -4.75 |
| 8 | -3.56 |
| 9 | -9.34 |
| 10 | -4.72 |
| 11 | -7.18 |
| 12 | -4.27 |